<i>
Entry from Alexandria via LeMat-Bulk: CdFe2As at its PBEsol-relaxed geometry (SCAN).

Results
As for the density of states at the Fermi level: 0.5649 states/eV per atom.

Cell lengths 2.947, 4.232, 5.186 Å; angles 101.49, 90.00, 110.38 degrees
Fractional coordinates of all 4 atoms:
Cd (0.500, 0.000, 0.000)
As (0.000, 0.000, 0.500)
Fe (0.741, 0.482, 0.684)
Fe (0.259, 0.518, 0.316)


<ii>
Entry from Alexandria via LeMat-Bulk: CdFe2As at its PBEsol-relaxed geometry (SCAN).

Results
As for the density of states at the Fermi level: 0.7213 states/eV per atom.

Cell lengths 4.344, 4.344, 4.344 Å; angles 60.00, 60.00, 60.00 degrees
Fractional coordinates of all 4 atoms:
Fe (0.000, 0.000, 0.000)
As (0.500, 0.500, 0.500)
Cd (0.250, 0.250, 0.250)
Fe (0.750, 0.750, 0.750)


Name the least stable of them. <ii>.


<i>
Entry from Alexandria via LeMat-Bulk: Cd3AsIr at its PBEsol-relaxed geometry (SCAN).

Results
As for the density of states at the Fermi level: 0.6287 states/eV per atom.

Cell lengths 4.919, 4.919, 4.919 Å; angles 90.00, 90.00, 90.00 degrees
Fractional coordinates of all 5 atoms:
As (0.000, 0.000, 0.000)
Cd (0.500, 0.000, 0.000)
Cd (0.000, 0.500, 0.000)
Ir (0.500, 0.500, 0.500)
Cd (0.000, 0.000, 0.500)


<ii>
Entry from Alexandria via LeMat-Bulk: Cd3AsIr at its PBEsol-relaxed geometry (SCAN).

Results
As for the density of states at the Fermi level: 0.9573 states/eV per atom.

Cell lengths 5.049, 5.049, 5.049 Å; angles 90.00, 90.00, 90.00 degrees
Fractional coordinates of all 5 atoms:
Cd (0.000, 0.000, 0.500)
Ir (0.000, 0.000, 0.000)
As (0.500, 0.500, 0.500)
Cd (0.000, 0.500, 0.000)
Cd (0.500, 0.000, 0.000)


Name the least stable of them. <i>.


<i>
Entry from Alexandria via LeMat-Bulk: Mn2CdAs at its PBEsol-relaxed geometry (SCAN).

Results
As for the density of states at the Fermi level: 0.7783 states/eV per atom.

Cell lengths 3.555, 4.520, 4.677 Å; angles 118.90, 112.34, 90.00 degrees
Fractional coordinates of all 4 atoms:
Mn (0.217, 0.217, 0.435)
Mn (0.783, 0.783, 0.565)
As (0.500, 0.000, 0.000)
Cd (0.000, 0.500, 0.000)


<ii>
Entry from Alexandria via LeMat-Bulk: Mn2CdAs at its PBEsol-relaxed geometry (SCAN).

Results
As for the density of states at the Fermi level: 0.4671 states/eV per atom.

Cell lengths 3.376, 4.133, 5.207 Å; angles 113.40, 108.92, 90.00 degrees
Fractional coordinates of all 4 atoms:
Cd (0.241, 0.741, 0.482)
As (0.478, 0.478, 0.957)
Mn (0.011, 0.011, 0.022)
Mn (0.770, 0.270, 0.540)


Name the least stable of them. <i>.


<i>
Entry from Alexandria via LeMat-Bulk: CdAs3P at its PBEsol-relaxed geometry (SCAN).

Results
As for the density of states at the Fermi level: 0.7158 states/eV per atom.

Cell lengths 4.757, 4.757, 4.757 Å; angles 90.00, 90.00, 90.00 degrees
Fractional coordinates of all 5 atoms:
Cd (0.500, 0.500, 0.500)
As (0.000, 0.000, 0.500)
As (0.000, 0.500, 0.000)
As (0.500, 0.000, 0.000)
P (0.000, 0.000, 0.000)


<ii>
Entry from Alexandria via LeMat-Bulk: CdAs3P at its PBEsol-relaxed geometry (SCAN).

Results
As for the density of states at the Fermi level: 0.9952 states/eV per atom.

Cell lengths 4.993, 4.993, 4.993 Å; angles 90.00, 90.00, 90.00 degrees
Fractional coordinates of all 5 atoms:
Cd (0.000, 0.000, 0.000)
P (0.500, 0.500, 0.500)
As (0.000, 0.500, 0.000)
As (0.500, 0.000, 0.000)
As (0.000, 0.000, 0.500)


Name the least stable of them. <ii>.


<i>
Entry from Alexandria via LeMat-Bulk: Cd2AsPb at its PBEsol-relaxed geometry (SCAN).

Results
As for the density of states at the Fermi level: 0.4079 states/eV per atom.

Cell lengths 3.210, 5.116, 6.411 Å; angles 112.96, 103.66, 92.05 degrees
Fractional coordinates of all 4 atoms:
As (0.500, 0.500, 0.000)
Cd (0.500, 0.500, 0.500)
Pb (0.000, 0.000, 0.000)
Cd (0.000, 0.000, 0.500)


<ii>
Entry from Alexandria via LeMat-Bulk: Cd2AsPb at its PBEsol-relaxed geometry (SCAN).

Results
As for the density of states at the Fermi level: 0.3426 states/eV per atom.

Cell lengths 3.844, 4.183, 6.646 Å; angles 108.34, 106.81, 90.00 degrees
Fractional coordinates of all 4 atoms:
Cd (0.757, 0.257, 0.515)
Cd (0.940, 0.940, 0.879)
As (0.251, 0.751, 0.502)
Pb (0.552, 0.552, 0.104)


Name the least stable of them. <i>.


<i>
Entry from Alexandria via LeMat-Bulk: CdAsPt at its PBEsol-relaxed geometry (SCAN).

Results
As for the density of states at the Fermi level: 0.4333 states/eV per atom.

Cell lengths 4.372, 4.372, 4.372 Å; angles 60.00, 60.00, 60.00 degrees
Fractional coordinates of all 3 atoms:
Pt (0.750, 0.750, 0.750)
As (0.000, 0.000, 0.000)
Cd (0.500, 0.500, 0.500)


<ii>
Entry from Alexandria via LeMat-Bulk: CdAsPt at its PBEsol-relaxed geometry (SCAN).

Results
As for the density of states at the Fermi level: 0.3166 states/eV per atom.

Cell lengths 3.592, 4.240, 4.240 Å; angles 120.00, 90.00, 90.00 degrees
Fractional coordinates of all 3 atoms:
Pt (0.500, 0.667, 0.333)
As (0.500, 0.000, 0.000)
Cd (0.000, 0.333, 0.667)


Name the least stable of them. <ii>.


<i>
Entry from Alexandria via LeMat-Bulk: CdAsPt2 at its PBEsol-relaxed geometry (SCAN).

Results
As for the density of states at the Fermi level: 0.3520 states/eV per atom.

Cell lengths 2.966, 3.225, 6.877 Å; angles 90.00, 90.00, 90.00 degrees
Fractional coordinates of all 4 atoms:
Pt (0.000, 0.000, 0.773)
Cd (0.500, 0.500, 0.500)
Pt (0.000, 0.000, 0.227)
As (0.500, 0.500, 0.000)


<ii>
Entry from Alexandria via LeMat-Bulk: CdAsPt2 at its PBEsol-relaxed geometry (SCAN).

Results
As for the density of states at the Fermi level: 0.4582 states/eV per atom.

Cell lengths 2.969, 4.675, 5.120 Å; angles 112.01, 90.00, 90.00 degrees
Fractional coordinates of all 4 atoms:
Cd (0.000, 0.500, 0.500)
As (0.500, 0.500, 0.000)
Pt (0.000, 0.000, 0.000)
Pt (0.500, 0.000, 0.500)


Name the least stable of them. <ii>.


<i>
Entry from Alexandria via LeMat-Bulk: CdReAs at its PBEsol-relaxed geometry (SCAN).

Results
As for the density of states at the Fermi level: 0.7279 states/eV per atom.

Cell lengths 2.843, 2.843, 8.051 Å; angles 95.78, 95.78, 115.47 degrees
Fractional coordinates of all 3 atoms:
As (0.966, 0.966, 0.932)
Re (0.345, 0.345, 0.691)
Cd (0.689, 0.689, 0.377)


<ii>
Entry from Alexandria via LeMat-Bulk: CdReAs at its PBEsol-relaxed geometry (SCAN).

Results
As for the density of states at the Fermi level: 0.4962 states/eV per atom.

Cell lengths 3.009, 3.009, 6.769 Å; angles 90.00, 90.00, 120.00 degrees
Fractional coordinates of all 3 atoms:
Re (0.667, 0.333, 0.305)
As (0.000, 0.000, 0.047)
Cd (0.333, 0.667, 0.649)


<iii>
Entry from Alexandria via LeMat-Bulk: CdReAs at its PBEsol-relaxed geometry (SCAN).

Results
As for the density of states at the Fermi level: 0.2278 states/eV per atom.

Cell lengths 3.195, 3.195, 5.436 Å; angles 107.09, 107.09, 90.00 degrees
Fractional coordinates of all 3 atoms:
As (0.972, 0.972, 0.943)
Cd (0.668, 0.668, 0.337)
Re (0.360, 0.360, 0.720)


Name the least stable of them. <i>.


<i>
Entry from Alexandria via LeMat-Bulk: Sc2CdAs at its PBEsol-relaxed geometry (SCAN).

Results
As for the density of states at the Fermi level: 0.4077 states/eV per atom.

Cell lengths 3.517, 3.519, 6.306 Å; angles 90.00, 90.50, 90.00 degrees
Fractional coordinates of all 4 atoms:
Cd (0.500, 0.500, 0.500)
Sc (0.996, 0.000, 0.229)
As (0.500, 0.500, 0.000)
Sc (0.004, 0.000, 0.771)


<ii>
Entry from Alexandria via LeMat-Bulk: Sc2CdAs at its PBEsol-relaxed geometry (SCAN).

Results
As for the density of states at the Fermi level: 0.7343 states/eV per atom.

Cell lengths 3.191, 3.191, 10.270 Å; angles 81.06, 81.06, 60.00 degrees
Fractional coordinates of all 4 atoms:
Cd (0.500, 0.500, 0.500)
Sc (0.087, 0.087, 0.739)
Sc (0.913, 0.913, 0.261)
As (0.000, 0.000, 0.000)


<iii>
Entry from Alexandria via LeMat-Bulk: Sc2CdAs at its PBEsol-relaxed geometry (SCAN).

Results
As for the density of states at the Fermi level: 0.7975 states/eV per atom.

Cell lengths 3.353, 3.353, 7.783 Å; angles 90.00, 90.00, 100.75 degrees
Fractional coordinates of all 4 atoms:
Sc (0.500, 0.500, 0.705)
As (0.000, 0.000, 0.516)
Cd (0.500, 0.500, 0.274)
Sc (0.000, 0.000, 0.004)


Name the least stable of them. <ii>.


<i>
Entry from Alexandria via LeMat-Bulk: Sr2CdAs at its PBEsol-relaxed geometry (SCAN).

Results
As for the density of states at the Fermi level: 0.7127 states/eV per atom.

Cell lengths 5.463, 5.463, 5.463 Å; angles 60.00, 60.00, 60.00 degrees
Fractional coordinates of all 4 atoms:
Sr (0.750, 0.750, 0.750)
Cd (0.000, 0.000, 0.000)
Sr (0.250, 0.250, 0.250)
As (0.500, 0.500, 0.500)


<ii>
Entry from Alexandria via LeMat-Bulk: Sr2CdAs at its PBEsol-relaxed geometry (SCAN).

Results
As for the density of states at the Fermi level: 0.3083 states/eV per atom.

Cell lengths 4.496, 4.539, 6.326 Å; angles 111.02, 90.00, 90.00 degrees
Fractional coordinates of all 4 atoms:
Sr (0.500, 0.988, 0.977)
As (0.000, 0.545, 0.090)
Sr (0.000, 0.266, 0.533)
Cd (0.500, 0.700, 0.400)


Name the least stable of them. <i>.


<i>
Entry from Alexandria via LeMat-Bulk: Cd2TeAs at its PBEsol-relaxed geometry (SCAN).

Results
As for the density of states at the Fermi level: 0.3839 states/eV per atom.

Cell lengths 2.978, 3.984, 7.911 Å; angles 90.00, 90.00, 90.00 degrees
Fractional coordinates of all 4 atoms:
Te (0.500, 0.500, 0.500)
Cd (0.496, 0.000, 0.212)
Cd (0.504, 0.000, 0.788)
As (0.000, 0.500, 0.000)


<ii>
Entry from Alexandria via LeMat-Bulk: Cd2TeAs at its PBEsol-relaxed geometry (SCAN).

Results
As for the density of states at the Fermi level: 0.6264 states/eV per atom.

Cell lengths 4.055, 4.055, 6.495 Å; angles 108.19, 108.19, 90.00 degrees
Fractional coordinates of all 4 atoms:
Cd (0.750, 0.250, 0.500)
Cd (0.000, 0.000, 0.000)
Te (0.500, 0.500, 0.000)
As (0.250, 0.750, 0.500)


<iii>
Entry from Alexandria via LeMat-Bulk: Cd2TeAs at its PBEsol-relaxed geometry (SCAN).

Results
As for the density of states at the Fermi level: 0.3593 states/eV per atom.

Cell lengths 4.438, 5.039, 5.039 Å; angles 108.59, 104.39, 104.39 degrees
Fractional coordinates of all 4 atoms:
Cd (0.000, 0.500, 0.000)
As (0.500, 0.500, 0.500)
Cd (0.000, 0.000, 0.500)
Te (0.500, 0.000, 0.000)


<iv>
Entry from Alexandria via LeMat-Bulk: Cd2TeAs at its PBEsol-relaxed geometry (SCAN).

Results
As for the density of states at the Fermi level: 0.6359 states/eV per atom.

Cell lengths 5.051, 5.051, 5.051 Å; angles 60.00, 60.00, 60.00 degrees
Fractional coordinates of all 4 atoms:
Cd (0.250, 0.250, 0.250)
As (0.500, 0.500, 0.500)
Cd (0.000, 0.000, 0.000)
Te (0.750, 0.750, 0.750)


Name the least stable of them. <iv>.


<i>
Entry from Alexandria via LeMat-Bulk: Cd2TeAs at its PBEsol-relaxed geometry (SCAN).

Results
As for the density of states at the Fermi level: 0.4860 states/eV per atom.

Cell lengths 3.112, 3.112, 11.092 Å; angles 81.94, 81.94, 60.00 degrees
Fractional coordinates of all 4 atoms:
Cd (0.743, 0.743, 0.771)
Cd (0.257, 0.257, 0.229)
As (0.000, 0.000, 0.000)
Te (0.500, 0.500, 0.500)


<ii>
Entry from Alexandria via LeMat-Bulk: Cd2TeAs at its PBEsol-relaxed geometry (SCAN).

Results
As for the density of states at the Fermi level: 0.4118 states/eV per atom.

Cell lengths 4.097, 5.586, 5.383 Å; angles 121.26, 112.37, 90.00 degrees
Fractional coordinates of all 4 atoms:
Cd (0.269, 0.269, 0.537)
Te (0.500, 0.000, 0.000)
Cd (0.731, 0.731, 0.463)
As (0.000, 0.500, 0.000)


<iii>
Entry from Alexandria via LeMat-Bulk: Cd2TeAs at its PBEsol-relaxed geometry (SCAN).

Results
As for the density of states at the Fermi level: 0.4665 states/eV per atom.

Cell lengths 3.048, 3.048, 9.925 Å; angles 90.00, 90.00, 90.00 degrees
Fractional coordinates of all 4 atoms:
Cd (0.500, 0.500, 0.222)
As (0.500, 0.500, 0.789)
Te (0.000, 0.000, 0.494)
Cd (0.000, 0.000, 0.995)


Name the least stable of them. <i>.